Material: AcZnPd
Method: DFT, PBE-GGA
State: relaxed

Summary:
Excess energy over the best structure of this formula in the dataset (eV/atom): 0.000
Energy relative to the elements (eV/atom): -0.678
Total magnetic moment (μB per cell): 0.00
E_tot (eV per atom): -4.1934

Cell lengths 4.535, 4.535, 4.176 Å; angles 90.00, 90.00, 120.00 degrees
Atoms (fractional coordinates):
1 Ac 0.000 0.000 0.000
2 Zn 0.333 0.667 0.500
3 Pd 0.667 0.333 0.500

***

Material: AcPm
Method: DFT, PBE-GGA
State: relaxed

Summary:
Excess energy over the best structure of this formula in the dataset (eV/atom): 0.000
Energy relative to the elements (eV/atom): 0.057
Total magnetic moment (μB per cell): 0.03
E_tot (eV per atom): -4.3690

Cell lengths 3.845, 3.845, 6.132 Å; angles 90.00, 90.00, 120.00 degrees
Atoms (fractional coordinates):
1 Ac 0.000 0.000 0.000
2 Pm 0.667 0.333 0.500

***

Material: Ac2Pm
Method: DFT, PBE-GGA
State: relaxed

Summary:
Energy relative to the elements (eV/atom): 2.049
Total magnetic moment (μB per cell): 0.02
E_tot (eV per atom): -2.2701

Cell lengths 9.689, 9.689, 9.689 Å; angles 60.00, 60.00, 60.00 degrees
Atoms (fractional coordinates):
1 Ac 0.000 0.000 0.000
2 Ac 0.000 0.000 0.500
3 Ac 0.000 0.500 0.000
4 Ac 0.500 0.000 0.000
5 Pm 0.125 0.125 0.125
6 Pm 0.875 0.875 0.875

***

Please write out number 1 again, unchanged.
Material: AcZnPd
Method: DFT, PBE-GGA
State: relaxed

Summary:
Excess energy over the best structure of this formula in the dataset (eV/atom): 0.000
Energy relative to the elements (eV/atom): -0.678
Total magnetic moment (μB per cell): 0.00
E_tot (eV per atom): -4.1934

Cell lengths 4.535, 4.535, 4.176 Å; angles 90.00, 90.00, 120.00 degrees
Atoms (fractional coordinates):
1 Ac 0.000 0.000 0.000
2 Zn 0.333 0.667 0.500
3 Pd 0.667 0.333 0.500